! PBE Ac8RuPt3, optimized geometry; values from VASP
! Formation energy (meV/atom): -659
! Total magnetization (μB/atom): 0.00
! Fermi-level density of states (states/eV/f.u.): 11.47
&SYSTEM
  ibrav = 0, nat = 12, ntyp = 3
/
ATOMIC_SPECIES
Ac 227.00 Ac.upf
Ru 101.07 Ru.upf
Pt 195.08 Pt.upf
ATOMIC_POSITIONS crystal
Ac 0.2323 0.2438 0.2404
Ac 0.2372 0.7628 0.0000
Ac 0.2410 0.7590 0.5000
Ac 0.2438 0.2323 0.7596
Ac 0.7562 0.7677 0.7596
Ac 0.7590 0.2410 0.5000
Ac 0.7628 0.2372 0.0000
Ac 0.7677 0.7562 0.2404
Ru 0.0000 0.0000 0.0000
Pt 0.0000 0.0000 0.5000
Pt 0.0000 0.5000 0.2523
Pt 0.5000 0.0000 0.7477
CELL_PARAMETERS angstrom
4.2708 -6.2277 0.0000
4.2708 6.2277 0.0000
0.0000 0.0000 8.7848